RbTa3Ti | Alexandria via LeMat-Bulk | PBE | relaxed; total magnetization = 0.00 μB/atom; total energy = -35.3 eV per cell; energy of formation = 1832 meV per atom; distance to the lowest polymorph of the same formula = 0.0 meV/atom
1.0
4.961 0.000 0.000
0.000 4.961 0.000
0.000 0.000 4.961
Rb Ta Ti
1 3 1
Cartesian
0.000 0.000 0.000
0.000 2.480 2.480
2.480 0.000 2.480
2.480 2.480 0.000
2.480 2.480 2.480

***

Pa2RhPb | Alexandria via LeMat-Bulk | PBE | relaxed; total magnetization = 0.00 μB/atom; total energy = -92.4 eV per cell; energy of formation = -186 meV per atom; distance to the lowest polymorph of the same formula = 115.6 meV/atom
1.0
3.958 0.000 0.000
-1.979 3.428 0.000
0.000 0.000 23.536
Pa Rh Pb
6 3 3
Cartesian
0.000 0.000 5.529
0.000 0.000 18.007
0.000 2.285 10.161
0.000 2.285 21.220
1.979 1.143 2.316
1.979 1.143 13.375
0.000 0.000 11.768
0.000 2.285 3.923
1.979 1.143 19.613
0.000 0.000 0.000
0.000 2.285 15.691
1.979 1.143 7.845

***

NaSnH2Au | Alexandria via LeMat-Bulk | PBE | relaxed; total magnetization = 0.00 μB/atom; total energy = -15.0 eV per cell
1.0
4.085 0.000 0.000
0.000 4.085 0.000
0.000 0.000 5.556
Na Sn H Au
1 1 2 1
Cartesian
0.000 0.000 0.000
2.043 2.043 2.778
0.000 2.043 2.778
2.043 0.000 2.778
2.043 2.043 0.000